# 1
ZnCo2Bi: optimized geometry, GGA-PBE.

Summary:
- Raw total energy: -4.54 eV/atom
- Energy relative to the lowest polymorph listed for this composition: 0.0 meV per atom
- V: 14.9 A^3/atom

Cell and atoms, written as extended XYZ:
```
4
Lattice="0.0000 3.0992 3.0992 3.0992 0.0000 3.0992 3.0992 3.0992 0.0000" Properties=species:S:1:pos:R:3 pbc="T T T"
Zn 0.0000 0.0000 0.0000
Co 1.5496 1.5496 1.5496
Co 4.6487 4.6487 4.6487
Bi 3.0992 3.0992 3.0992
```

=====

# 2
ZnCo2Bi: optimized geometry, GGA-PBE.

Summary:
- Raw total energy: -4.31 eV/atom
- Energy relative to the lowest polymorph listed for this composition: 223.2 meV per atom
- V: 18.2 A^3/atom

Cell and atoms, written as extended XYZ:
```
8
Lattice="-2.0497 2.0497 8.6652 2.0497 -2.0497 8.6652 2.0497 2.0497 -8.6652" Properties=species:S:1:pos:R:3 pbc="T T T"
Zn 0.0000 0.0000 0.0000
Zn 0.0000 2.0497 4.3326
Co 3.0745 0.5660 -2.1663
Co 0.5660 1.0248 2.1663
Co -1.0248 1.4837 6.4989
Co 1.4837 1.0248 10.8316
Bi 2.0497 0.0000 4.3326
Bi 0.0000 0.0000 8.6652
```

=====

# 3
ZnCoBi: optimized geometry, GGA-PBE.

Summary:
- Raw total energy: -3.94 eV/atom
- V: 19.6 A^3/atom

Cell and atoms, written as extended XYZ:
```
6
Lattice="2.0583 1.1883 7.9967 -2.0583 1.1883 7.9967 0.0000 -2.3767 7.9967" Properties=species:S:1:pos:R:3 pbc="T T T"
Zn 0.0000 0.0000 0.0000
Zn 0.0000 0.0000 9.5776
Co 0.0000 0.0000 7.2126
Co 0.0000 0.0000 16.8973
Bi 0.0000 0.0000 3.0684
Bi 0.0000 0.0000 13.9976
```

=====

# 4
ZnCoBi: optimized geometry, GGA-PBE.

Summary:
- Raw total energy: -3.93 eV/atom
- V: 19.7 A^3/atom

Cell and atoms, written as extended XYZ:
```
6
Lattice="4.1369 0.0000 0.0000 -2.0684 3.5826 0.0000 0.0000 0.0000 7.9869" Properties=species:S:1:pos:R:3 pbc="T T T"
Zn 0.0000 0.0000 0.0000
Zn 0.0000 2.3884 1.5954
Co 0.0000 0.0000 2.3816
Co 2.0684 1.1942 0.7528
Bi 0.0000 2.3884 6.5299
Bi 2.0684 1.1942 3.5849
```

=====

# 5
ZnCoBi: optimized geometry, GGA-PBE.

Summary:
- Raw total energy: -3.98 eV/atom
- V: 20.3 A^3/atom

Cell and atoms, written as extended XYZ:
```
6
Lattice="2.0365 1.1758 8.4759 -2.0365 1.1758 8.4759 0.0000 -2.3516 8.4759" Properties=species:S:1:pos:R:3 pbc="T T T"
Zn 0.0000 0.0000 0.0000
Zn 0.0000 0.0000 10.0689
Co 0.0000 0.0000 7.6527
Co 0.0000 0.0000 17.4626
Bi 0.0000 0.0000 14.7295
Bi 0.0000 0.0000 20.1800
```

=====

# 6
ZnCo3Bi: optimized geometry, GGA-PBE.

Summary:
- Raw total energy: -4.37 eV/atom
- Energy relative to the lowest polymorph listed for this composition: 0.0 meV per atom
- V: 17.2 A^3/atom

Cell and atoms, written as extended XYZ:
```
5
Lattice="4.4151 0.0000 0.0000 0.0000 4.4151 0.0000 0.0000 0.0000 4.4151" Properties=species:S:1:pos:R:3 pbc="T T T"
Zn 0.0000 0.0000 0.0000
Co 0.0000 0.0000 2.2076
Co 0.0000 2.2076 0.0000
Co 2.2076 0.0000 0.0000
Bi 2.2076 2.2076 2.2076
```

=====

no.,ΔE_f (meV per atom)
1,304
2,527
3,152
4,153
5,105
6,928